# RbMgZr2Mn PBE-GGA optimized geometry
data_RbMgZr2Mn
_chemical_formula_sum 'Rb1 Mg1 Zr2 Mn1'
_cell_length_a 5.0689
_cell_length_b 5.0689
_cell_length_c 4.4250
_cell_angle_alpha 90.00
_cell_angle_beta 90.00
_cell_angle_gamma 90.00
_symmetry_space_group_name_H-M 'P 4/m m m'
_symmetry_Int_Tables_number 123
_symmetry_space_group_name_Hall '-P 4 2'
loop_
_atom_site_label
_atom_site_type_symbol
_atom_site_fract_x
_atom_site_fract_y
_atom_site_fract_z
_atom_site_occupancy
Rb1 Rb 0.0000 0.0000 0.0000 1
Mg1 Mg 0.5000 0.5000 0.5000 1
Zr1 Zr 0.0000 0.5000 0.0000 1
Mn1 Mn 0.0000 0.0000 0.5000 1
# - ΔH_f (0 K) (eV/atom) = 2.10
# - DOS(E_F) (states/eV/f.u.) = 3.915
# - theoretical density (g/cm³) = 5.070

# Li7Ga4Ge PBE-GGA optimized geometry
data_Li7Ga4Ge
_chemical_formula_sum 'Li14 Ga8 Ge2'
_cell_length_a 12.4625
_cell_length_b 4.7697
_cell_length_c 7.8541
_cell_angle_alpha 90.00
_cell_angle_beta 118.79
_cell_angle_gamma 90.00
_symmetry_space_group_name_H-M 'C 1 2/m 1'
_symmetry_Int_Tables_number 12
loop_
_symmetry_equiv_pos_as_xyz
'x,y,z'
'-x,-y,-z'
'-x,y,-z'
'x,-y,z'
'x+1/2,y+1/2,z'
'-x+1/2,-y+1/2,-z'
'-x+1/2,y+1/2,-z'
'x+1/2,-y+1/2,z'
loop_
_atom_site_label
_atom_site_type_symbol
_atom_site_fract_x
_atom_site_fract_y
_atom_site_fract_z
_atom_site_occupancy
Li1 Li 0.0000 0.0000 0.0000 1
Li2 Li 0.0829 0.5000 0.4354 1
Li3 Li 0.1907 0.5000 0.8761 1
Li4 Li 0.2249 0.5000 0.2500 1
Ga1 Ga 0.0574 0.0000 0.6973 1
Ga2 Ga 0.1729 0.0000 0.3690 1
Ge1 Ge 0.0000 0.5000 0.0000 1
# - ΔH_f (0 K) (eV/atom) = -0.16
# - DOS(E_F) (states/eV/f.u.) = 3.067
# - theoretical density (g/cm³) = 3.248

# FeNiMo PBE-GGA optimized geometry
data_FeNiMo
_chemical_formula_sum 'Fe2 Ni2 Mo2'
_cell_length_a 2.5751
_cell_length_b 3.7486
_cell_length_c 7.8359
_cell_angle_alpha 90.00
_cell_angle_beta 90.00
_cell_angle_gamma 90.00
_symmetry_space_group_name_H-M 'I m m 2'
_symmetry_Int_Tables_number 44
loop_
_symmetry_equiv_pos_as_xyz
'x,y,z'
'-x,-y,z'
'-x,y,z'
'x,-y,z'
'x+1/2,y+1/2,z+1/2'
'-x+1/2,-y+1/2,z+1/2'
'-x+1/2,y+1/2,z+1/2'
'x+1/2,-y+1/2,z+1/2'
loop_
_atom_site_label
_atom_site_type_symbol
_atom_site_fract_x
_atom_site_fract_y
_atom_site_fract_z
_atom_site_occupancy
Fe1 Fe 0.0000 0.0000 0.0000 1
Ni1 Ni 0.0000 0.0000 0.3421 1
Mo1 Mo 0.0000 0.0000 0.6716 1
# - ΔH_f (0 K) (eV/atom) = 0.06
# - DOS(E_F) (states/eV/f.u.) = 3.693
# - theoretical density (g/cm³) = 9.241

# PPb2I PBE-GGA optimized geometry
data_PPb2I
_chemical_formula_sum 'P3 Pb6 I3'
_cell_length_a 4.3537
_cell_length_b 4.3537
_cell_length_c 23.5588
_cell_angle_alpha 90.00
_cell_angle_beta 90.00
_cell_angle_gamma 120.00
_symmetry_space_group_name_H-M 'R -3 m'
_symmetry_Int_Tables_number 166
_symmetry_space_group_name_Hall '-R 3 2"'
loop_
_atom_site_label
_atom_site_type_symbol
_atom_site_fract_x
_atom_site_fract_y
_atom_site_fract_z
_atom_site_occupancy
P1 P 0.0000 0.0000 0.0000 1
Pb1 Pb 0.0000 0.0000 0.2693 1
I1 I 0.0000 0.0000 0.5000 1
# - formation energy without anion corrections (eV/atom) = -0.24
# - DOS(E_F) (states/eV/f.u.) = 0.142
# - theoretical density (g/cm³) = 7.372

# Er6Ni2Te3S PBE-GGA optimized geometry
data_Er6Ni2Te3S
_chemical_formula_sum 'Er12 Ni4 Te6 S2'
_cell_length_a 6.9923
_cell_length_b 12.1519
_cell_length_c 7.4662
_cell_angle_alpha 90.00
_cell_angle_beta 108.23
_cell_angle_gamma 90.00
_symmetry_space_group_name_H-M 'C 1 2/m 1'
_symmetry_Int_Tables_number 12
loop_
_symmetry_equiv_pos_as_xyz
'x,y,z'
'-x,-y,-z'
'-x,y,-z'
'x,-y,z'
'x+1/2,y+1/2,z'
'-x+1/2,-y+1/2,-z'
'-x+1/2,y+1/2,-z'
'x+1/2,-y+1/2,z'
loop_
_atom_site_label
_atom_site_type_symbol
_atom_site_fract_x
_atom_site_fract_y
_atom_site_fract_z
_atom_site_occupancy
Er1 Er 0.2232 0.0000 0.2064 1
Er2 Er 0.2425 0.3273 0.2076 1
Ni1 Ni 0.0000 0.1679 0.0000 1
Te1 Te 0.0000 0.0000 0.5000 1
Te2 Te 0.0000 0.3383 0.5000 1
S1 S 0.0000 0.5000 0.0000 1
# - formation energy without anion corrections (eV/atom) = -1.08
# - DOS(E_F) (states/eV/f.u.) = 5.820
# - theoretical density (g/cm³) = 8.465

# LiCa2MgRh PBE-GGA optimized geometry
data_LiCa2MgRh
_chemical_formula_sum 'Li1 Ca2 Mg1 Rh1'
_cell_length_a 5.6969
_cell_length_b 5.6969
_cell_length_c 4.5184
_cell_angle_alpha 90.00
_cell_angle_beta 90.00
_cell_angle_gamma 90.00
_symmetry_space_group_name_H-M 'P 4/m m m'
_symmetry_Int_Tables_number 123
_symmetry_space_group_name_Hall '-P 4 2'
loop_
_atom_site_label
_atom_site_type_symbol
_atom_site_fract_x
_atom_site_fract_y
_atom_site_fract_z
_atom_site_occupancy
Li1 Li 0.0000 0.0000 0.0000 1
Ca1 Ca 0.0000 0.5000 0.5000 1
Mg1 Mg 0.0000 0.0000 0.5000 1
Rh1 Rh 0.5000 0.5000 0.0000 1
# - ΔH_f (0 K) (eV/atom) = 0.74
# - DOS(E_F) (states/eV/f.u.) = 4.115
# - theoretical density (g/cm³) = 2.427

# Pr12YEr6 PBE-GGA optimized geometry
data_Pr12YEr6
_chemical_formula_sum 'Pr36 Y3 Er18'
_cell_length_a 14.9373
_cell_length_b 14.9373
_cell_length_c 10.5422
_cell_angle_alpha 90.00
_cell_angle_beta 90.00
_cell_angle_gamma 120.00
_symmetry_space_group_name_H-M 'R -3'
_symmetry_Int_Tables_number 148
_symmetry_space_group_name_Hall '-R 3'
loop_
_atom_site_label
_atom_site_type_symbol
_atom_site_fract_x
_atom_site_fract_y
_atom_site_fract_z
_atom_site_occupancy
Pr1 Pr 0.0530 0.8008 0.0793 1
Pr2 Pr 0.0644 0.8382 0.4193 1
Y1 Y 0.0000 0.0000 0.0000 1
Er1 Er 0.0511 0.8358 0.7595 1
# - ΔH_f (0 K) (eV/atom) = 0.24
# - DOS(E_F) (states/eV/f.u.) = 28.779
# - theoretical density (g/cm³) = 6.807

# Ho2Zn2Co15 PBE-GGA optimized geometry
data_Ho2Zn2Co15
_chemical_formula_sum 'Ho6 Zn6 Co45'
_cell_length_a 8.3616
_cell_length_b 8.3616
_cell_length_c 12.0898
_cell_angle_alpha 90.00
_cell_angle_beta 90.00
_cell_angle_gamma 120.00
_symmetry_space_group_name_H-M 'R -3 m'
_symmetry_Int_Tables_number 166
_symmetry_space_group_name_Hall '-R 3 2"'
loop_
_atom_site_label
_atom_site_type_symbol
_atom_site_fract_x
_atom_site_fract_y
_atom_site_fract_z
_atom_site_occupancy
Ho1 Ho 0.0000 0.0000 0.1517 1
Zn1 Zn 0.0000 0.0000 0.3968 1
Co1 Co 0.0000 0.2901 0.5000 1
Co2 Co 0.0000 0.5000 0.0000 1
Co3 Co 0.0032 0.5016 0.6501 1
# - ΔH_f (0 K) (eV/atom) = -0.10
# - DOS(E_F) (states/eV/f.u.) = 22.278
# - theoretical density (g/cm³) = 9.151